CaMn2Cd: optimized geometry, GGA-PBE.

Lattice parameters (Å, degrees): 4.3974 4.3974 4.2792 90.00 90.00 90.00
Last column: nearest neighbours and their distance in Å.
Positions (direct):
1 Ca 0.0000 0.0000 0.0000  8 Mn 3.07, 4 Cd 3.11
2 Mn 0.0000 0.5000 0.5000  4 Cd 3.07, 4 Ca 3.07, 4 Mn 3.11
3 Mn 0.5000 0.0000 0.5000  4 Cd 3.07, 4 Ca 3.07, 4 Mn 3.11
4 Cd 0.5000 0.5000 0.0000  8 Mn 3.07, 4 Ca 3.11

## Properties
Energy of formation ... 0.423 eV/atom
Space group ... P4/mmm